Computed, not measured: a relaxed structure of CsNa2FeO at the PBE+U level of DFT.

```
data_CsNa2FeO
_chemical_formula_sum 'Cs1 Na2 Fe1 O1'
_cell_length_a 6.6984
_cell_length_b 6.6984
_cell_length_c 5.8068
_cell_angle_alpha 90.00
_cell_angle_beta 90.00
_cell_angle_gamma 90.00
_symmetry_space_group_name_H-M 'P 4/m m m'
_symmetry_Int_Tables_number 123
_symmetry_space_group_name_Hall '-P 4 2'
loop_
_atom_site_label
_atom_site_type_symbol
_atom_site_fract_x
_atom_site_fract_y
_atom_site_fract_z
Cs1 Cs 0.0000 0.0000 0.0000
Na1 Na 0.0000 0.5000 0.0000
Fe1 Fe 0.0000 0.0000 0.5000
O1 O 0.5000 0.5000 0.5000
```

Output
Final energy in eV/atom: -1.41
M_tot in μB per formula unit: 3.1